[1]
# CrInS3 PBE optimized geometry
data_CrInS3
_space_group_name_H-M_alt 'C m c 21'
_space_group_IT_number 36
_cell_length_a 3.762
_cell_length_b 18.850
_cell_length_c 6.188
_cell_angle_alpha 90.00
_cell_angle_beta 90.00
_cell_angle_gamma 90.00
loop_
_space_group_symop_operation_xyz
'x,y,z'
'-x,-y,z+1/2'
'-x,y,z'
'x,-y,z+1/2'
'x+1/2,y+1/2,z'
'-x+1/2,-y+1/2,z+1/2'
'-x+1/2,y+1/2,z'
'x+1/2,-y+1/2,z+1/2'
loop_
_atom_site_label
_atom_site_fract_x
_atom_site_fract_y
_atom_site_fract_z
_atom_site_occupancy
Cr1 0.000 0.177 0.000 1
In1 0.000 0.376 0.951 1
S1 0.000 0.074 0.243 1
S2 0.000 0.266 0.704 1
S3 0.000 0.386 0.342 1
# Energy above the most stable polymorph in this dataset, kJ/mol of formula units: 0
# Spin magnetization, μB/atom: 0.5997
# Final energy, eV/atom: -5.509

***

[2]
# CrInS PBE optimized geometry
data_CrInS
_space_group_name_H-M_alt 'R -3 m'
_space_group_IT_number 166
_space_group_name_Hall '-R 3 2"'
_cell_length_a 4.0949
_cell_length_b 4.0949
_cell_length_c 27.3821
_cell_angle_alpha 90.00
_cell_angle_beta 90.00
_cell_angle_gamma 120.00
loop_
_atom_site_label
_atom_site_fract_x
_atom_site_fract_y
_atom_site_fract_z
_atom_site_occupancy
Cr1 0.0000 0.0000 0.2123 1
In1 0.0000 0.0000 0.3723 1
S1 0.0000 0.0000 0.1233 1
# Spin magnetization, μB/atom: 1.1809
# Final energy, eV/atom: -5.610

***

[3]
# Cr3InSn2S8 PBE optimized geometry
data_Cr3InSn2S8
_space_group_name_H-M_alt 'R 3 m'
_space_group_IT_number 160
_space_group_name_Hall 'R 3 -2"'
_cell_length_a 7.0063
_cell_length_b 7.0063
_cell_length_c 19.9189
_cell_angle_alpha 90.00
_cell_angle_beta 90.00
_cell_angle_gamma 120.00
loop_
_atom_site_label
_atom_site_fract_x
_atom_site_fract_y
_atom_site_fract_z
_atom_site_occupancy
Cr1 0.1863 0.3725 0.0000 1
In1 0.0000 0.0000 0.5381 1
Sn1 0.0000 0.0000 0.1555 1
Sn2 0.0000 0.0000 0.8029 1
S1 0.0000 0.0000 0.4050 1
S2 0.0000 0.0000 0.9510 1
S3 0.0354 0.5177 0.9277 1
S4 0.1749 0.3499 0.7288 1
# Spin magnetization, μB/atom: 0.2243
# Final energy, eV/atom: -5.620

***

Number 1: uncorrected formation energy -0.5604 eV/atom. Number 2: uncorrected formation energy -0.1138 eV/atom. Number 3: uncorrected formation energy -0.4314 eV/atom.